Arrangement i

VASP calculation (PBE-GGA) on a relaxed structure of NaAcIn.

```
data_NaAcIn
_cell_length_a 4.076
_cell_length_b 4.076
_cell_length_c 12.237
_cell_angle_alpha 90.00
_cell_angle_beta 90.00
_cell_angle_gamma 90.00
_symmetry_space_group_name_H-M 'I 4 m m'
_symmetry_Int_Tables_number 107
_symmetry_space_group_name_Hall 'I 4 -2'
loop_
_atom_site_label
_atom_site_fract_x
_atom_site_fract_y
_atom_site_fract_z
Na1 0.000 0.000 0.000
Ac1 0.000 0.000 0.295
In1 0.000 0.000 0.629
```

---

Arrangement ii

VASP calculation (PBE-GGA) on a relaxed structure of NaAcIn.

```
data_NaAcIn
_cell_length_a 8.133
_cell_length_b 4.695
_cell_length_c 12.758
_cell_angle_alpha 90.00
_cell_angle_beta 90.01
_cell_angle_gamma 90.00
_symmetry_space_group_name_H-M 'C 1 2/m 1'
_symmetry_Int_Tables_number 12
loop_
_symmetry_equiv_pos_as_xyz
'x,y,z'
'-x,-y,-z'
'-x,y,-z'
'x,-y,z'
'x+1/2,y+1/2,z'
'-x+1/2,-y+1/2,-z'
'-x+1/2,y+1/2,-z'
'x+1/2,-y+1/2,z'
loop_
_atom_site_label
_atom_site_fract_x
_atom_site_fract_y
_atom_site_fract_z
Na1 0.166 0.000 0.082
Ac1 0.000 0.500 0.312
In1 0.167 0.000 0.467
```

---

Arrangement iii

VASP calculation (PBE-GGA) on a relaxed structure of NaAcIn.

```
data_NaAcIn
_cell_length_a 5.5545
_cell_length_b 5.5545
_cell_length_c 3.6890
_cell_angle_alpha 90.00
_cell_angle_beta 90.00
_cell_angle_gamma 120.00
_symmetry_space_group_name_H-M 'P -6 m 2'
_symmetry_Int_Tables_number 187
_symmetry_space_group_name_Hall 'P -6 2'
loop_
_atom_site_label
_atom_site_fract_x
_atom_site_fract_y
_atom_site_fract_z
Na1 0.0000 0.0000 0.0000
Ac1 0.3333 0.6667 0.5000
In1 0.6667 0.3333 0.0000
```

---

If you had to name the least stable structure above, which would it be? It would be arrangement ii.